Entry 1:
The following is a DFT calculation (GGA-PBEsol) of AlAg3 after structural relaxation.

## Properties
Space group: P6_3/mmc (194)
Electronic total energy in eV/atom: -3.598

a b c (Å): 4.602 5.688 5.688
angles (deg): 120.00 90.00 90.00
Positions (direct):
Al  0.750  0.667  0.333
Al  0.250  0.333  0.667
Ag  0.750  0.169  0.831
Ag  0.750  0.663  0.831
Ag  0.750  0.169  0.337
Ag  0.250  0.831  0.169
Ag  0.250  0.337  0.169
Ag  0.250  0.831  0.663

Entry 2:
The following is a DFT calculation (GGA-PBEsol) of Y2CrSb after structural relaxation.

## Properties
Space group: P4mm (99)
Formation energy without anion corrections in eV per formula unit: -0.10
Electronic total energy in eV/atom: -7.137

a b c (Å): 3.476 3.476 7.888
angles (deg): 90.00 90.00 90.00
Each line ends with the local moment (μB).
Positions (direct):
Cr  0.000  0.000  0.542  2.46
Sb  0.500  0.500  0.697  -0.10
Y  0.000  0.000  0.959  0.22
Y  0.500  0.500  0.302  -0.10

Entry 3:
The following is a DFT calculation (GGA-PBEsol) of NbPCl2F after structural relaxation.

## Properties
Space group: P4/mmm (123)
Formation energy without anion corrections in eV per formula unit: 1.30
Electronic total energy in eV/atom: -4.251

a b c (Å): 3.593 4.900 4.900
angles (deg): 90.00 90.00 90.00
Each line ends with the local moment (μB).
Positions (direct):
P  0.500  0.000  0.000  -0.14
Nb  0.500  0.500  0.500  1.84
F  0.000  0.000  0.000  -0.01
Cl  0.000  0.000  0.500  -0.04
Cl  0.000  0.500  0.000  -0.04

Entry 4:
The following is a DFT calculation (GGA-PBEsol) of K3NiPb after structural relaxation.

## Properties
Space group: Pm-3m (221)
Electronic total energy in eV/atom: -2.050

a b c (Å): 5.960 5.960 5.960
angles (deg): 90.00 90.00 90.00
Each line ends with the local moment (μB).
Positions (direct):
Pb  0.500  0.500  0.500  0.57
Ni  0.000  0.000  0.000  0.60
K  0.000  0.500  0.000  0.02
K  0.000  0.000  0.500  0.02
K  0.500  0.000  0.000  0.02

Entry 5:
The following is a DFT calculation (GGA-PBEsol) of Ti3B4Mo after structural relaxation.

## Properties
Space group: Pm (6)
Electronic total energy in eV/atom: -8.992

a b c (Å): 3.037 4.510 5.985
angles (deg): 90.38 90.00 90.00
Positions (direct):
Mo  0.500  0.377  0.679
B  0.500  0.897  0.530
B  0.500  0.602  0.029
B  0.000  0.100  0.470
B  0.000  0.397  0.968
Ti  0.500  0.125  0.176
Ti  0.000  0.620  0.327
Ti  0.000  0.881  0.822

Entry 6:
The following is a DFT calculation (GGA-PBEsol) of Zr2InCu after structural relaxation.

## Properties
Space group: I4/mmm (139)
Electronic total energy in eV/atom: -6.569

a b c (Å): 4.281 4.281 5.129
angles (deg): 114.67 114.67 90.00
Positions (direct):
Cu  0.000  0.000  0.000
Zr  0.750  0.250  0.500
Zr  0.250  0.750  0.500
In  0.500  0.500  0.000

Entry 7:
The following is a DFT calculation (GGA-PBEsol) of CdAuBr2 after structural relaxation.

## Properties
Offset from the most stable computed form in meV/atom: 109
Space group: Immm (71)
Formation energy without anion corrections in eV per formula unit: -0.12
Electronic total energy in eV/atom: -2.246

a b c (Å): 3.976 5.413 5.413
angles (deg): 72.69 68.45 68.45
Positions (direct):
Au  0.500  0.000  0.000
Br  0.237  0.763  0.763
Br  0.763  0.237  0.237
Cd  0.000  0.500  0.500

Entry 8:
The following is a DFT calculation (GGA-PBEsol) of ReIr3 after structural relaxation.

## Properties
Offset from the most stable computed form in meV/atom: 23
Space group: I4/mmm (139)
Electronic total energy in eV/atom: -10.818

a b c (Å): 3.832 3.832 8.162
angles (deg): 103.58 103.58 90.00
Positions (direct):
Ir  0.500  0.000  0.000
Ir  0.879  0.879  0.757
Ir  0.121  0.121  0.243
Ir  0.250  0.750  0.500
Ir  0.750  0.250  0.500
Ir  0.000  0.500  0.000
Re  0.628  0.628  0.256
Re  0.372  0.372  0.744

Entry 9:
The following is a DFT calculation (GGA-PBEsol) of SiSb4W after structural relaxation.

## Properties
Space group: F-43m (216)
Formation energy without anion corrections in eV per formula unit: 8.11
Electronic total energy in eV/atom: -4.945

a b c (Å): 5.924 5.924 5.924
angles (deg): 60.00 60.00 60.00
Each line ends with the local moment (μB).
Positions (direct):
Sb  0.375  0.375  0.375  -0.01
Sb  0.375  0.375  0.875  -0.01
Sb  0.875  0.375  0.375  -0.01
Sb  0.375  0.875  0.375  -0.01
Si  0.750  0.750  0.750  -0.05
W  0.000  0.000  0.000  1.65

Entry 10:
The following is a DFT calculation (GGA-PBEsol) of LiNbFeO4 after structural relaxation.

## Properties
Offset from the most stable computed form in meV/atom: 0
Space group: P4_322 (95)
Formation energy without anion corrections in eV per formula unit: -13.76
Electronic total energy in eV/atom: -8.073

a b c (Å): 5.984 5.984 8.542
angles (deg): 90.00 90.00 90.00
Each line ends with the local moment (μB).
Positions (direct):
Li  0.000  0.244  0.000  0.00
Li  0.000  0.756  0.500  0.00
Li  0.244  0.000  0.250  0.00
Li  0.756  0.000  0.750  0.00
Nb  0.245  0.245  0.625  0.10
Nb  0.245  0.755  0.875  0.10
Nb  0.755  0.245  0.375  0.10
Nb  0.755  0.755  0.125  0.10
Fe  0.500  0.742  0.500  3.52
Fe  0.742  0.500  0.750  3.52
Fe  0.258  0.500  0.250  3.52
Fe  0.500  0.258  0.000  3.52
O  0.014  0.256  0.252  0.05
O  0.014  0.744  0.248  0.05
O  0.256  0.014  0.998  0.05
O  0.256  0.986  0.502  0.05
O  0.744  0.014  0.002  0.05
O  0.744  0.986  0.498  0.05
O  0.986  0.256  0.748  0.05
O  0.986  0.744  0.752  0.05
O  0.253  0.499  0.005  0.08
O  0.253  0.501  0.495  0.08
O  0.499  0.253  0.245  0.08
O  0.499  0.747  0.255  0.08
O  0.501  0.253  0.755  0.08
O  0.501  0.747  0.745  0.08
O  0.747  0.501  0.505  0.08
O  0.747  0.499  0.995  0.08

Entry 11:
The following is a DFT calculation (GGA-PBEsol) of Na3BeTc after structural relaxation.

## Properties
Space group: Pm-3m (221)
Electronic total energy in eV/atom: -2.266

a b c (Å): 5.111 5.111 5.111
angles (deg): 90.00 90.00 90.00
Each line ends with the local moment (μB).
Positions (direct):
Na  0.000  0.500  0.000  -0.02
Na  0.000  0.000  0.500  -0.02
Na  0.500  0.000  0.000  -0.02
Tc  0.500  0.500  0.500  3.49
Be  0.000  0.000  0.000  -0.08

Entry 12:
The following is a DFT calculation (GGA-PBEsol) of Li2RhAu after structural relaxation.

## Properties
Space group: F-43m (216)
Electronic total energy in eV/atom: -4.147

a b c (Å): 4.321 4.321 4.321
angles (deg): 60.00 60.00 60.00
Positions (direct):
Au  0.500  0.500  0.500
Li  0.000  0.000  0.000
Li  0.750  0.750  0.750
Rh  0.250  0.250  0.250